## Al2CrW (PBE)

Data for a geometry-optimized Al2CrW structure.

The value obtained for the formation energy is 0.001 eV/atom. The size of the total moment comes out at 0.00 Bohr magnetons per cell. As for the electronic total energy: -7.514 eV/atom. The density of states at the Fermi level comes out at 2.64 states/eV/f.u.

The structure belongs to space group P2/m (No. 10); the cell edges are 2.675, 4.180 and 5.260 Å and the angles 90.00°, 103.79° and 90.00°. The inequivalent atoms are Al at (0.205, 0.000, 0.259), Cr at (0.000, 0.500, 0.500) and W at (0.500, 0.500, 0.000).